[1]
Entry from Alexandria via LeMat-Bulk: an optimized crystal structure of ScAl2C2 (GGA-PBE).

Calculated values
- space-group type = R-3m, No. 166
- total energy (eV/cell) = -33.20
- formation energy (eV/f.u.) = -0.94
- total magnetization (μB/atom) = 0.000
- DOS at the Fermi energy (states/eV/f.u.) = 2.67

Cell lengths 3.258, 3.258, 7.269 Å; angles 77.05, 77.05, 60.00 degrees
Fractional coordinates of all 5 atoms:
Sc: 0.000 0.000 0.000
Al: 0.228 0.228 0.317
Al: 0.772 0.772 0.683
C: 0.598 0.598 0.206
C: 0.402 0.402 0.794

***

[2]
Entry from Alexandria via LeMat-Bulk: an optimized crystal structure of Sc2AlC (GGA-PBE).

Calculated values
- space-group type = I-42d, No. 122
- total energy (eV/cell) = -51.33
- formation energy (eV/f.u.) = -0.03
- total magnetization (μB/atom) = 0.000
- DOS at the Fermi energy (states/eV/f.u.) = 1.63

Cell lengths 6.735, 6.735, 5.744 Å; angles 54.11, 54.11, 90.00 degrees
Fractional coordinates of all 8 atoms:
Sc: 0.545 0.125 0.250
Sc: 0.205 0.625 0.250
Sc: 0.375 0.455 0.750
Sc: 0.875 0.795 0.750
C: 0.500 0.500 0.000
C: 0.250 0.750 0.500
Al: 0.000 0.000 0.000
Al: 0.750 0.250 0.500

***

[3]
Entry from Alexandria via LeMat-Bulk: an optimized crystal structure of Sc2AlC (GGA-PBE).

Calculated values
- space-group type = R-3m, No. 166
- total energy (eV/cell) = -22.44
- formation energy (eV/f.u.) = 3.19
- total magnetization (μB/atom) = 0.000
- DOS at the Fermi energy (states/eV/f.u.) = 3.01

Cell lengths 8.957, 8.957, 8.957 Å; angles 20.98, 20.98, 20.98 degrees
Fractional coordinates of all 4 atoms:
Sc: 0.918 0.918 0.918
Sc: 0.082 0.082 0.082
C: 0.000 0.000 0.000
Al: 0.500 0.500 0.500